Computed, not measured: a geometry-optimized NaLi2NpF8 structure at the GGA-PBE level of DFT.

Cell and atoms, written as POSCAR:
```
NaLi2NpF8
1.0
2.464 1.422 7.965
-2.464 1.422 7.965
0.000 -2.845 7.965
Na Li Np F
1 2 1 8
direct
0.000 0.000 0.000 Na
0.269 0.269 0.269 Li
0.731 0.731 0.731 Li
0.500 0.500 0.500 Np
0.102 0.458 0.776 F
0.224 0.542 0.898 F
0.342 0.342 0.342 F
0.458 0.776 0.102 F
0.542 0.898 0.224 F
0.658 0.658 0.658 F
0.776 0.102 0.458 F
0.898 0.224 0.542 F
```

Calculated values
Total moment: 2.4 μB per formula unit
Formation energy (no corrections): -2844 meV per atom
DFT total energy: -5.5987 eV/atom
Fermi-level density of states: 0.97 states/eV/atom

=====

Computed, not measured: a geometry-optimized NaLiO2F structure at the GGA-PBE level of DFT.

Cell and atoms, written as POSCAR:
```
NaLiO2F
1.0
3.810 0.000 0.000
0.000 3.810 0.000
0.000 0.000 4.000
Na Li O F
1 1 2 1
direct
0.000 0.000 0.000 Na
0.500 0.500 0.500 Li
0.000 0.500 0.500 O
0.500 0.000 0.500 O
0.500 0.500 0.000 F
```

Calculated values
Total moment: 3.0 μB per formula unit
Formation energy (no corrections): -915 meV per atom
DFT total energy: -3.9188 eV/atom
Fermi-level density of states: 0.57 states/eV/atom

=====

Computed, not measured: a geometry-optimized Na2LiOF structure at the GGA-PBE level of DFT.

Cell and atoms, written as POSCAR:
```
Na2LiOF
1.0
4.083 0.000 0.000
0.000 4.083 0.000
0.000 0.000 5.751
Na Li O F
2 1 1 1
direct
0.000 0.500 0.000 Na
0.500 0.000 0.000 Na
0.000 0.000 0.500 Li
0.500 0.500 0.500 O
0.500 0.500 0.000 F
```

Calculated values
Total moment: 0.0 μB per formula unit
Formation energy (no corrections): -887 meV per atom
DFT total energy: -3.1635 eV/atom
Fermi-level density of states: 0.25 states/eV/atom

=====

Question: Among the records above, which one has the highest DFT total energy?
Answer: Na2LiOF